# Tb5PuIr6 PBE-GGA optimized geometry
data_Tb5PuIr6
_chemical_formula_sum 'Tb5 Pu1 Ir6'
_cell_length_a 4.783
_cell_length_b 7.124
_cell_length_c 7.570
_cell_angle_alpha 90.00
_cell_angle_beta 71.58
_cell_angle_gamma 90.00
_symmetry_space_group_name_H-M 'P 1'
_symmetry_Int_Tables_number 1
loop_
_symmetry_equiv_pos_as_xyz
'x,y,z'
loop_
_atom_site_label
_atom_site_type_symbol
_atom_site_fract_x
_atom_site_fract_y
_atom_site_fract_z
Tb1 Tb 0.000 0.500 0.000
Tb2 Tb 0.333 0.000 0.334
Tb3 Tb 0.667 0.000 0.666
Tb4 Tb 0.667 0.500 0.666
Tb5 Tb 0.333 0.500 0.334
Ir1 Ir 0.165 0.249 0.670
Ir2 Ir 0.835 0.249 0.330
Ir3 Ir 0.165 0.751 0.670
Ir4 Ir 0.500 0.753 0.000
Ir5 Ir 0.500 0.247 0.000
Ir6 Ir 0.835 0.751 0.330
Pu1 Pu 0.000 0.000 0.000
# space group = No. 65
# E_form = -0.701 eV/atom